6
Lattice="-1.761 5.162 1.158 -1.150 -2.020 -6.168 -5.253 -1.561 -1.030" Properties=species:S:1:pos:R:3 comment="BaAg2 SCAN single point on PBEsol structure" ef_kj_per_mol_atoms=-7 dos_ef_per_ev_atom=0.47 vol_a3_per_cell=164.21 pbc="T T T"
Ag -5.537 2.168 -0.077
Ag -1.477 1.433 0.205
Ag -3.190 3.766 0.621
Ag -3.824 -0.166 -0.493
Ba -3.209 2.471 -2.473
Ba -4.955 -0.890 -3.567

15
Lattice="-6.303 -2.319 5.903 -3.916 -7.428 -3.072 3.207 -6.858 4.757" Properties=species:S:1:pos:R:3 comment="Ba3Ag2 SCAN single point on PBEsol structure" ef_kj_per_mol_atoms=-22 dos_ef_per_ev_atom=0.86 polymorph_energy_mev_per_atom=0 vol_a3_per_cell=634.26 pbc="T T T"
Ba -2.060 -4.878 2.229
Ba -4.952 -11.726 5.358
Ba -0.822 -11.403 3.157
Ba -4.104 -7.861 7.877
Ba -7.124 -9.269 2.004
Ba -6.190 -5.201 4.430
Ba -3.506 -8.302 3.794
Ba -2.909 -8.744 -0.290
Ba 0.112 -7.336 5.583
Ag -5.113 -6.404 1.213
Ag -2.867 -5.316 5.670
Ag -6.665 -8.606 5.460
Ag -4.146 -11.289 1.917
Ag -0.347 -7.999 2.127
Ag -1.899 -10.201 6.374

6
Lattice="-3.579 -2.630 -0.987 2.096 -3.565 1.896 -2.711 5.012 6.960" Properties=species:S:1:pos:R:3 comment="BaAg2 SCAN single point on PBEsol structure" ef_kj_per_mol_atoms=-26 dos_ef_per_ev_atom=0.42 vol_a3_per_cell=173.86 pbc="T T T"
Ag -2.956 -0.668 2.013
Ag -2.893 1.604 6.214
Ag -4.074 -0.048 4.414
Ag -1.300 -2.787 1.655
Ba -0.678 -0.825 4.656
Ba 0.000 0.000 0.000

5
Lattice="4.128 0.000 0.000 2.064 7.555 0.000 2.064 0.000 7.555" Properties=species:S:1:pos:R:3 comment="Ba4Ag SCAN single point on PBEsol structure" ef_kj_per_mol_atoms=-8 dos_ef_per_ev_atom=1.06 vol_a3_per_cell=235.63 pbc="T T T"
Ba 4.128 6.165 2.415
Ba 4.128 1.390 5.140
Ba 6.192 5.140 6.165
Ba 2.064 2.415 1.390
Ag 0.000 0.000 0.000

3
Lattice="4.273 0.000 0.000 0.000 4.797 0.000 0.000 -2.399 4.155" Properties=species:S:1:pos:R:3 comment="BaAg2 SCAN single point on PBEsol structure" ef_kj_per_mol_atoms=-28 dos_ef_per_ev_atom=0.31 vol_a3_per_cell=85.16 pbc="T T T"
Ba 0.000 0.000 0.000
Ag 2.136 0.000 2.770
Ag 2.136 2.399 1.385

6
Lattice="4.914 0.000 0.000 2.457 5.728 0.002 2.457 0.261 5.722" Properties=species:S:1:pos:R:3 comment="BaAg2 SCAN single point on PBEsol structure" ef_kj_per_mol_atoms=-27 dos_ef_per_ev_atom=0.28 vol_a3_per_cell=161.06 pbc="T T T"
Ag 4.914 0.651 1.280
Ag 7.371 4.303 3.454
Ag 2.457 1.687 2.270
Ag 4.914 5.339 4.444
Ba 4.914 4.090 1.172
Ba 4.914 1.900 4.551

4
Lattice="-1.034 1.912 -3.583 -4.866 -4.008 -0.733 -0.997 5.224 5.526" Properties=species:S:1:pos:R:3 comment="Ba3Ag SCAN single point on PBEsol structure" ef_kj_per_mol_atoms=-7 dos_ef_per_ev_atom=0.86 polymorph_energy_mev_per_atom=43 vol_a3_per_cell=177.13 pbc="T T T"
Ba -2.429 2.216 -0.567
Ba -3.355 -1.382 -2.219
Ba -5.278 0.244 1.654
Ag -0.406 -0.334 -0.061

6
Lattice="4.518 0.000 0.000 -2.259 6.021 0.014 0.000 -3.127 7.893" Properties=species:S:1:pos:R:3 comment="BaAg SCAN single point on PBEsol structure" ef_kj_per_mol_atoms=-21 dos_ef_per_ev_atom=0.83 vol_a3_per_cell=214.92 pbc="T T T"
Ba 2.259 0.771 7.607
Ba 2.259 3.957 4.844
Ba 2.259 0.576 2.469
Ag 0.000 1.385 0.199
Ag 0.000 1.416 4.872
Ag 0.000 3.104 2.421

4
Lattice="-4.355 1.197 -0.987 -2.511 -2.592 -2.890 -5.913 -6.550 7.315" Properties=species:S:1:pos:R:3 comment="Ba3Ag SCAN single point on PBEsol structure" ef_kj_per_mol_atoms=-7 dos_ef_per_ev_atom=1.10 polymorph_energy_mev_per_atom=42 vol_a3_per_cell=206.35 pbc="T T T"
Ba -2.898 -1.488 0.155
Ba -9.881 -6.456 3.282
Ba -6.390 -3.972 1.719
Ag 0.000 0.000 0.000

5
Lattice="-1.625 5.306 1.065 -3.408 -4.315 1.306 2.887 -0.377 6.285" Properties=species:S:1:pos:R:3 comment="Ba3Ag2 SCAN single point on PBEsol structure" ef_kj_per_mol_atoms=-18 dos_ef_per_ev_atom=0.67 polymorph_energy_mev_per_atom=35 vol_a3_per_cell=191.55 pbc="T T T"
Ba -1.866 -1.231 3.288
Ba 0.000 0.000 0.000
Ba -0.280 1.846 5.368
Ag -0.420 -1.420 6.436
Ag -1.726 2.035 2.220

6
Lattice="-1.268 -4.347 -1.286 5.728 -2.183 1.733 -2.884 1.821 5.301" Properties=species:S:1:pos:R:3 comment="BaAg2 SCAN single point on PBEsol structure" ef_kj_per_mol_atoms=-22 dos_ef_per_ev_atom=0.45 vol_a3_per_cell=167.06 pbc="T T T"
Ba 0.605 -3.981 4.245
Ba 0.971 -0.728 1.503
Ag -1.865 -2.639 2.144
Ag 3.442 -2.070 3.604
Ag 2.659 -3.765 1.490
Ag -1.083 -0.944 4.257

8
Lattice="-3.928 2.466 -1.114 -0.375 -4.438 1.708 -0.597 5.794 14.925" Properties=species:S:1:pos:R:3 comment="BaAg SCAN single point on PBEsol structure" ef_kj_per_mol_atoms=-24 dos_ef_per_ev_atom=0.58 vol_a3_per_cell=315.67 pbc="T T T"
Ag -0.448 4.346 11.194
Ag -2.893 1.613 3.558
Ag -0.149 1.449 3.731
Ag -2.007 2.209 11.961
Ba -1.785 0.058 6.421
Ba -3.268 5.257 12.942
Ba -1.631 -1.434 2.576
Ba -3.114 3.764 9.097

4
Lattice="-0.238 1.911 -3.996 -0.139 -4.419 0.357 -11.494 0.432 0.892" Properties=species:S:1:pos:R:3 comment="Ba3Ag SCAN single point on PBEsol structure" ef_kj_per_mol_atoms=-5 dos_ef_per_ev_atom=1.15 polymorph_energy_mev_per_atom=69 vol_a3_per_cell=196.59 pbc="T T T"
Ag 0.000 0.000 0.000
Ba -2.268 -2.230 -0.931
Ba -9.569 -1.956 -0.365
Ba -5.747 0.216 0.446

6
Lattice="4.549 0.000 0.000 0.000 5.742 0.000 0.000 -2.871 4.973" Properties=species:S:1:pos:R:3 comment="BaAg5 SCAN single point on PBEsol structure" ef_kj_per_mol_atoms=-15 dos_ef_per_ev_atom=0.52 polymorph_energy_mev_per_atom=0 vol_a3_per_cell=129.88 pbc="T T T"
Ag 0.000 0.000 3.315
Ag 2.274 -1.436 2.486
Ag 2.274 1.436 2.486
Ag 2.274 2.871 0.000
Ag 0.000 2.871 1.658
Ba 0.000 0.000 0.000

8
Lattice="4.590 0.000 0.000 0.000 9.256 -0.032 0.000 -2.408 8.937" Properties=species:S:1:pos:R:3 comment="Ba3Ag SCAN single point on PBEsol structure" ef_kj_per_mol_atoms=-10 dos_ef_per_ev_atom=1.00 polymorph_energy_mev_per_atom=17 vol_a3_per_cell=379.35 pbc="T T T"
Ba 3.443 3.677 1.622
Ba 1.148 3.171 7.283
Ba 1.148 -1.048 7.891
Ba 3.443 7.895 1.014
Ba 3.443 6.224 4.935
Ba 1.148 0.623 3.970
Ag 3.443 0.800 6.470
Ag 1.148 6.048 2.435

6
Lattice="-4.578 -0.458 -3.227 -0.796 -4.612 -3.110 -4.049 -3.648 1.369" Properties=species:S:1:pos:R:3 comment="BaAg5 SCAN single point on PBEsol structure" ef_kj_per_mol_atoms=-8 dos_ef_per_ev_atom=0.52 polymorph_energy_mev_per_atom=72 vol_a3_per_cell=125.46 pbc="T T T"
Ag -5.484 -3.154 -1.558
Ag -3.611 -5.212 -1.500
Ag -3.872 -3.631 -3.777
Ag -2.356 -2.179 -1.242
Ag -5.878 -5.438 -3.099
Ba 0.000 0.000 0.000

8
Lattice="4.862 0.000 0.000 0.000 6.541 0.000 0.000 0.000 8.604" Properties=species:S:1:pos:R:3 comment="BaAg SCAN single point on PBEsol structure" ef_kj_per_mol_atoms=-27 dos_ef_per_ev_atom=0.60 vol_a3_per_cell=273.62 pbc="T T T"
Ba 3.647 4.105 2.760
Ba 3.647 5.707 7.062
Ba 1.216 2.436 5.843
Ba 1.216 0.834 1.542
Ag 3.647 0.733 4.017
Ag 3.647 2.538 8.318
Ag 1.216 4.003 0.285
Ag 1.216 5.808 4.587

6
Lattice="-1.136 2.107 3.993 -2.932 -3.004 -1.963 3.082 -5.513 3.785" Properties=species:S:1:pos:R:3 comment="BaAg5 SCAN single point on PBEsol structure" ef_kj_per_mol_atoms=-7 dos_ef_per_ev_atom=0.42 polymorph_energy_mev_per_atom=87 vol_a3_per_cell=137.36 pbc="T T T"
Ag -2.336 -1.269 2.718
Ag -0.568 1.053 1.996
Ag 1.350 -5.141 3.097
Ag -0.606 -1.680 0.714
Ag -0.380 -4.730 5.101
Ba 0.973 -1.703 3.889

8
Lattice="-0.744 -3.505 2.520 5.576 -3.964 -3.868 7.527 3.572 7.189" Properties=species:S:1:pos:R:3 comment="Ba3Ag SCAN single point on PBEsol structure" ef_kj_per_mol_atoms=-7 dos_ef_per_ev_atom=1.03 polymorph_energy_mev_per_atom=42 vol_a3_per_cell=378.80 pbc="T T T"
Ba 10.125 -1.756 4.352
Ba 7.290 0.259 6.319
Ba 2.653 -0.422 0.196
Ba 3.123 -0.094 4.598
Ba 6.820 -0.069 1.917
Ba 5.393 -2.370 -1.705
Ag 4.779 -2.613 1.583
Ag 5.164 2.450 4.932

5
Lattice="-2.023 1.894 -3.793 -4.453 1.483 0.207 1.460 11.533 2.069" Properties=species:S:1:pos:R:3 comment="Ba3Ag2 SCAN single point on PBEsol structure" ef_kj_per_mol_atoms=-14 dos_ef_per_ev_atom=0.62 polymorph_energy_mev_per_atom=77 vol_a3_per_cell=219.65 pbc="T T T"
Ba -4.065 10.311 -1.412
Ba 0.000 0.000 0.000
Ba -0.951 4.599 -0.106
Ag -1.326 10.857 0.308
Ag -3.691 4.053 -1.826